Record 1
Compound: Y2TiAu
Source: Alexandria
Functional: GGA-PBE
Structure: relaxed

Summary:
Formation energy   -168.9 meV per atom
ΔE to the lowest computed polymorph   0 meV/atom
Size of the total moment   3.04 μB/f.u.
Crystal system   cubic

a b c (Å): 7.2564 7.2564 7.2564
angles (deg): 90.00 90.00 90.00
Positions (direct):
Y: 0.2500 0.2500 0.2500
Y: 0.2500 0.2500 0.7500
Y: 0.2500 0.7500 0.2500
Y: 0.2500 0.7500 0.7500
Y: 0.7500 0.2500 0.2500
Y: 0.7500 0.2500 0.7500
Y: 0.7500 0.7500 0.2500
Y: 0.7500 0.7500 0.7500
Ti: 0.0000 0.0000 0.0000
Ti: 0.0000 0.5000 0.5000
Ti: 0.5000 0.0000 0.5000
Ti: 0.5000 0.5000 0.0000
Au: 0.0000 0.0000 0.5000
Au: 0.0000 0.5000 0.0000
Au: 0.5000 0.0000 0.0000
Au: 0.5000 0.5000 0.5000

Record 2
Compound: YTiAu2
Source: Alexandria
Functional: GGA-PBE
Structure: relaxed

Summary:
Formation energy   -505.3 meV per atom
ΔE to the lowest computed polymorph   42 meV/atom
Size of the total moment   1.59 μB/f.u.
Crystal system   tetragonal

a b c (Å): 4.8231 4.8231 3.5425
angles (deg): 90.00 90.00 90.00
Positions (direct):
Y: 0.0000 0.0000 0.0000
Ti: 0.5000 0.5000 0.0000
Au: 0.0000 0.5000 0.5000
Au: 0.5000 0.0000 0.5000

Record 3
Compound: Y2TiAu
Source: Alexandria
Functional: GGA-PBE
Structure: relaxed

Summary:
Formation energy   81.5 meV per atom
ΔE to the lowest computed polymorph   250 meV/atom
Size of the total moment   1.51 μB/f.u.
Crystal system   tetragonal

a b c (Å): 8.1731 8.1731 6.2099
angles (deg): 90.00 90.00 90.00
Positions (direct):
Y: 0.2154 0.7500 0.1250
Y: 0.2500 0.2154 0.8750
Y: 0.2500 0.2846 0.3750
Y: 0.2846 0.7500 0.6250
Y: 0.7154 0.2500 0.6250
Y: 0.7500 0.7154 0.3750
Y: 0.7500 0.7846 0.8750
Y: 0.7846 0.2500 0.1250
Ti: 0.0000 0.0000 0.5000
Ti: 0.0000 0.5000 0.7500
Ti: 0.5000 0.0000 0.2500
Ti: 0.5000 0.5000 0.0000
Au: 0.0000 0.0000 0.0000
Au: 0.0000 0.5000 0.2500
Au: 0.5000 0.0000 0.7500
Au: 0.5000 0.5000 0.5000

Record 4
Compound: YTi2Au2
Source: Alexandria
Functional: GGA-PBE
Structure: relaxed

Summary:
Formation energy   -292.2 meV per atom
ΔE to the lowest computed polymorph   65 meV/atom
Size of the total moment   0.00 μB/f.u.
Crystal system   tetragonal

a b c (Å): 7.7643 7.7643 3.3080
angles (deg): 90.00 90.00 90.00
Positions (direct):
Y: 0.0000 0.0000 0.0000
Y: 0.5000 0.5000 0.0000
Ti: 0.1662 0.3338 0.5000
Ti: 0.3338 0.8338 0.5000
Ti: 0.6662 0.1662 0.5000
Ti: 0.8338 0.6662 0.5000
Au: 0.1287 0.6287 0.0000
Au: 0.3713 0.1287 0.0000
Au: 0.6287 0.8713 0.0000
Au: 0.8713 0.3713 0.0000

Record 5
Compound: YTiAu2
Source: Alexandria
Functional: GGA-PBE
Structure: relaxed

Summary:
Formation energy   -207.7 meV per atom
ΔE to the lowest computed polymorph   339 meV/atom
Size of the total moment   1.70 μB/f.u.
Crystal system   tetragonal

a b c (Å): 7.4995 7.4995 6.5107
angles (deg): 90.00 90.00 90.00
Positions (direct):
Y: 0.0000 0.0000 0.0000
Y: 0.0000 0.5000 0.2500
Y: 0.5000 0.0000 0.7500
Y: 0.5000 0.5000 0.5000
Ti: 0.0000 0.0000 0.5000
Ti: 0.0000 0.5000 0.7500
Ti: 0.5000 0.0000 0.2500
Ti: 0.5000 0.5000 0.0000
Au: 0.2121 0.2500 0.6250
Au: 0.2500 0.7121 0.8750
Au: 0.2500 0.7879 0.3750
Au: 0.2879 0.2500 0.1250
Au: 0.7121 0.7500 0.1250
Au: 0.7500 0.2121 0.3750
Au: 0.7500 0.2879 0.8750
Au: 0.7879 0.7500 0.6250

Record 6
Compound: YTi2Au
Source: Alexandria
Functional: GGA-PBE
Structure: relaxed

Summary:
Formation energy   122.0 meV per atom
ΔE to the lowest computed polymorph   67 meV/atom
Size of the total moment   1.19 μB/f.u.
Crystal system   tetragonal

a b c (Å): 7.8230 7.8230 5.7759
angles (deg): 90.00 90.00 90.00
Positions (direct):
Y: 0.0000 0.0000 0.0000
Y: 0.0000 0.5000 0.2500
Y: 0.5000 0.0000 0.7500
Y: 0.5000 0.5000 0.5000
Ti: 0.2034 0.2500 0.6250
Ti: 0.2500 0.7034 0.8750
Ti: 0.2500 0.7966 0.3750
Ti: 0.2966 0.2500 0.1250
Ti: 0.7034 0.7500 0.1250
Ti: 0.7500 0.2034 0.3750
Ti: 0.7500 0.2966 0.8750
Ti: 0.7966 0.7500 0.6250
Au: 0.0000 0.0000 0.5000
Au: 0.0000 0.5000 0.7500
Au: 0.5000 0.0000 0.2500
Au: 0.5000 0.5000 0.0000

Record 7
Compound: Y2TiAu2
Source: Alexandria
Functional: GGA-PBE
Structure: relaxed

Summary:
Formation energy   -493.4 meV per atom
ΔE to the lowest computed polymorph   0 meV/atom
Size of the total moment   2.79 μB/f.u.
Crystal system   tetragonal

a b c (Å): 7.5077 7.5077 4.1815
angles (deg): 90.00 90.00 90.00
Positions (direct):
Y: 0.1691 0.3309 0.0000
Y: 0.3309 0.8309 0.0000
Y: 0.6691 0.1691 0.0000
Y: 0.8309 0.6691 0.0000
Ti: 0.0000 0.0000 0.5000
Ti: 0.5000 0.5000 0.5000
Au: 0.1366 0.6366 0.5000
Au: 0.3634 0.1366 0.5000
Au: 0.6366 0.8634 0.5000
Au: 0.8634 0.3634 0.5000

Record 8
Compound: YTiAu3
Source: Alexandria
Functional: GGA-PBE
Structure: relaxed

Summary:
Formation energy   0.9 meV per atom
Size of the total moment   0.00 μB/f.u.
Crystal system   cubic

a b c (Å): 4.9420 4.9420 4.9420
angles (deg): 90.00 90.00 90.00
Positions (direct):
Y: 0.0000 0.0000 0.0000
Ti: 0.5000 0.5000 0.5000
Au: 0.0000 0.5000 0.5000
Au: 0.5000 0.0000 0.5000
Au: 0.5000 0.5000 0.0000

Record 9
Compound: YTi2Au
Source: Alexandria
Functional: GGA-PBE
Structure: relaxed

Summary:
Formation energy   55.4 meV per atom
ΔE to the lowest computed polymorph   0 meV/atom
Size of the total moment   0.00 μB/f.u.
Crystal system   cubic

a b c (Å): 6.7308 6.7308 6.7308
angles (deg): 90.00 90.00 90.00
Positions (direct):
Y: 0.0000 0.0000 0.0000
Y: 0.0000 0.5000 0.5000
Y: 0.5000 0.0000 0.5000
Y: 0.5000 0.5000 0.0000
Ti: 0.2500 0.2500 0.2500
Ti: 0.2500 0.2500 0.7500
Ti: 0.2500 0.7500 0.2500
Ti: 0.2500 0.7500 0.7500
Ti: 0.7500 0.2500 0.2500
Ti: 0.7500 0.2500 0.7500
Ti: 0.7500 0.7500 0.2500
Ti: 0.7500 0.7500 0.7500
Au: 0.0000 0.0000 0.5000
Au: 0.0000 0.5000 0.0000
Au: 0.5000 0.0000 0.0000
Au: 0.5000 0.5000 0.5000

Record 10
Compound: YTi2Au2
Source: Alexandria
Functional: GGA-PBE
Structure: relaxed

Summary:
Formation energy   -296.6 meV per atom
ΔE to the lowest computed polymorph   61 meV/atom
Size of the total moment   2.70 μB/f.u.
Crystal system   tetragonal

a b c (Å): 7.9995 7.9995 3.0770
angles (deg): 90.00 90.00 90.00
Positions (direct):
Y: 0.0000 0.0000 0.0000
Y: 0.5000 0.5000 0.0000
Ti: 0.1180 0.3820 0.0000
Ti: 0.3820 0.8820 0.0000
Ti: 0.6180 0.1180 0.0000
Ti: 0.8820 0.6180 0.0000
Au: 0.1773 0.6773 0.5000
Au: 0.3227 0.1773 0.5000
Au: 0.6773 0.8227 0.5000
Au: 0.8227 0.3227 0.5000

Record 11
Compound: YTiZnAu
Source: Alexandria
Functional: GGA-PBE
Structure: relaxed

Summary:
Formation energy   -323.5 meV per atom
Size of the total moment   1.44 μB/f.u.
Crystal system   cubic

a b c (Å): 6.8532 6.8532 6.8532
angles (deg): 90.00 90.00 90.00
Positions (direct):
Y: 0.0000 0.0000 0.0000
Y: 0.0000 0.5000 0.5000
Y: 0.5000 0.0000 0.5000
Y: 0.5000 0.5000 0.0000
Ti: 0.0000 0.0000 0.5000
Ti: 0.0000 0.5000 0.0000
Ti: 0.5000 0.0000 0.0000
Ti: 0.5000 0.5000 0.5000
Zn: 0.2500 0.2500 0.7500
Zn: 0.2500 0.7500 0.2500
Zn: 0.7500 0.2500 0.2500
Zn: 0.7500 0.7500 0.7500
Au: 0.2500 0.2500 0.2500
Au: 0.2500 0.7500 0.7500
Au: 0.7500 0.2500 0.7500
Au: 0.7500 0.7500 0.2500

Record 12
Compound: Ti2Zn2Au
Source: Alexandria
Functional: GGA-PBE
Structure: relaxed

Summary:
Formation energy   98.8 meV per atom
ΔE to the lowest computed polymorph   311 meV/atom
Size of the total moment   0.00 μB/f.u.
Crystal system   tetragonal

a b c (Å): 7.9117 7.9117 2.7051
angles (deg): 90.00 90.00 90.00
Positions (direct):
Ti: 0.1234 0.3766 0.0000
Ti: 0.3766 0.8766 0.0000
Ti: 0.6234 0.1234 0.0000
Ti: 0.8766 0.6234 0.0000
Zn: 0.1724 0.6724 0.5000
Zn: 0.3276 0.1724 0.5000
Zn: 0.6724 0.8276 0.5000
Zn: 0.8276 0.3276 0.5000
Au: 0.0000 0.0000 0.0000
Au: 0.5000 0.5000 0.0000

Question: What is the formula in the second record?
Answer: YTiAu2

Question: size of the total moment of number 3 (Y2TiAu)?
Answer: 1.51 μB/f.u.

Repeat the ninth record exactly.
Compound: YTi2Au
Source: Alexandria
Functional: GGA-PBE
Structure: relaxed

Summary:
Formation energy   55.4 meV per atom
ΔE to the lowest computed polymorph   0 meV/atom
Size of the total moment   0.00 μB/f.u.
Crystal system   cubic

a b c (Å): 6.7308 6.7308 6.7308
angles (deg): 90.00 90.00 90.00
Positions (direct):
Y: 0.0000 0.0000 0.0000
Y: 0.0000 0.5000 0.5000
Y: 0.5000 0.0000 0.5000
Y: 0.5000 0.5000 0.0000
Ti: 0.2500 0.2500 0.2500
Ti: 0.2500 0.2500 0.7500
Ti: 0.2500 0.7500 0.2500
Ti: 0.2500 0.7500 0.7500
Ti: 0.7500 0.2500 0.2500
Ti: 0.7500 0.2500 0.7500
Ti: 0.7500 0.7500 0.2500
Ti: 0.7500 0.7500 0.7500
Au: 0.0000 0.0000 0.5000
Au: 0.0000 0.5000 0.0000
Au: 0.5000 0.0000 0.0000
Au: 0.5000 0.5000 0.5000

Question: formation energy of number 7 (Y2TiAu2)?
Answer: -493.4 meV per atom